(1)
This record from Alexandria describes a relaxed NaPuU2Se4 crystal. The functional is PBE.

The space group is P2/m (No. 10) and the conventional cell measures 7.106, 4.029 and 7.309 Å, with angles of 90.00, 108.50 and 90.00 degrees. The asymmetric unit holds Na at (0.000, 0.000, 0.000), Pu at (0.500, 0.500, 0.000), U at (0.000, 0.500, 0.500), U at (0.500, 0.000, 0.500), Se at (0.248, 0.000, 0.750) and Se at (0.249, 0.500, 0.254).


(2)
This record from Alexandria describes a relaxed Na4Pu3USe8 crystal. The functional is PBE.

The space group is R-3m (No. 166, hexagonal axes) and the conventional cell measures 8.4137, 8.4137 and 20.8225 Å, with angles of 90.00, 90.00 and 120.00 degrees. The asymmetric unit holds Na at (0.0000, 0.0000, 0.0000), Na at (0.0000, 0.5000, 0.0000), Pu at (0.0000, 0.5000, 0.5000), U at (0.0000, 0.0000, 0.5000), Se at (0.0000, 0.0000, 0.2437) and Se at (0.0058, 0.5029, 0.2435).


(3)
This record from Alexandria describes a relaxed Na2Pu2USe6 crystal. The functional is PBE.

The space group is C2/m (No. 12) and the conventional cell measures 7.276, 12.520 and 7.374 Å, with angles of 90.00, 109.17 and 90.00 degrees. The asymmetric unit holds Na at (0.000, 0.169, 0.000), Pu at (0.000, 0.334, 0.500), U at (0.000, 0.000, 0.500), Se at (0.237, 0.163, 0.725) and Se at (0.247, 0.000, 0.275).


(4)
This record from Alexandria describes a relaxed Na4Pu3VSe8 crystal. The functional is PBE.

The space group is R-3m (No. 166, hexagonal axes) and the conventional cell measures 8.1987, 8.1987 and 20.8779 Å, with angles of 90.00, 90.00 and 120.00 degrees. The asymmetric unit holds Na at (0.0000, 0.0000, 0.0000), Na at (0.0000, 0.5000, 0.0000), Pu at (0.0000, 0.5000, 0.5000), V at (0.0000, 0.0000, 0.5000), Se at (0.0000, 0.0000, 0.2441) and Se at (0.0188, 0.5094, 0.2406).


| no. | uncorrected formation energy (eV per atom) | N(E_F) (states/eV/atom) |
| --- | --- | --- |
| 1 | -1.158 | 2.7034 |
| 2 | -1.371 | 2.2926 |
| 3 | -1.341 | 2.6007 |
| 4 | -1.236 | 2.5031 |